Entry 1:
# MnZn2Fe PBE-GGA relaxed
# offset from the most stable computed form = 0.1240 eV/atom
# final energy = -0.18030 Ha/atom
# formation enthalpy at 0 K = 0.56 eV/f.u.
data_MnZn2Fe
_symmetry_space_group_name_H-M 'F -4 3 m'
_symmetry_Int_Tables_number 216
_symmetry_space_group_name_Hall 'F -4 2 3'
_cell_length_a 5.9054
_cell_length_b 5.9054
_cell_length_c 5.9054
_cell_angle_alpha 90.00
_cell_angle_beta 90.00
_cell_angle_gamma 90.00
loop_
_atom_site_label
_atom_site_type_symbol
_atom_site_fract_x
_atom_site_fract_y
_atom_site_fract_z
Mn1 Mn 0.0000 0.0000 0.0000
Zn1 Zn 0.0000 0.0000 0.5000
Zn2 Zn 0.2500 0.2500 0.2500
Fe1 Fe 0.2500 0.2500 0.7500

=====

Entry 2:
# HfMnCo2 PBE-GGA relaxed
# final energy = -0.28724 Ha/atom
# formation enthalpy at 0 K = 2.07 eV/f.u.
data_HfMnCo2
_symmetry_space_group_name_H-M 'I m m m'
_symmetry_Int_Tables_number 71
_symmetry_space_group_name_Hall '-I 2 2'
_cell_length_a 2.8634
_cell_length_b 4.1269
_cell_length_c 9.8281
_cell_angle_alpha 90.00
_cell_angle_beta 90.00
_cell_angle_gamma 90.00
loop_
_atom_site_label
_atom_site_type_symbol
_atom_site_fract_x
_atom_site_fract_y
_atom_site_fract_z
Hf1 Hf 0.0000 0.0000 0.0000
Mn1 Mn 0.0000 0.0000 0.5000
Co1 Co 0.0000 0.0000 0.2748

=====

Entry 3:
# PuScSi PBE-GGA relaxed
# offset from the most stable computed form = 0.1020 eV/atom
# raw formation energy = -0.26 eV per atom
# final energy = -0.32919 Ha/atom
data_PuScSi
_symmetry_space_group_name_H-M 'I 4 m m'
_symmetry_Int_Tables_number 107
_symmetry_space_group_name_Hall 'I 4 -2'
_cell_length_a 3.6230
_cell_length_b 3.6230
_cell_length_c 9.7132
_cell_angle_alpha 90.00
_cell_angle_beta 90.00
_cell_angle_gamma 90.00
loop_
_atom_site_label
_atom_site_type_symbol
_atom_site_fract_x
_atom_site_fract_y
_atom_site_fract_z
Pu1 Pu 0.0000 0.0000 0.0000
Sc1 Sc 0.0000 0.0000 0.2872
Si1 Si 0.0000 0.0000 0.6681

=====

Entry 4:
# Ho3Sn3Ir2 PBE-GGA relaxed
# final energy = -0.22683 Ha/atom
# formation enthalpy at 0 K = -5.92 eV/f.u.
data_Ho3Sn3Ir2
_symmetry_space_group_name_H-M 'P n m a'
_symmetry_Int_Tables_number 62
_cell_length_a 8.4153
_cell_length_b 15.2538
_cell_length_c 5.7866
_cell_angle_alpha 90.00
_cell_angle_beta 90.00
_cell_angle_gamma 90.00
loop_
_symmetry_equiv_pos_as_xyz
'x,y,z'
'-x,-y,-z'
'-x+1/2,-y,z+1/2'
'x+1/2,y,-z+1/2'
'x+1/2,-y+1/2,-z+1/2'
'-x+1/2,y+1/2,z+1/2'
'-x,y+1/2,-z'
'x,-y+1/2,z'
loop_
_atom_site_label
_atom_site_type_symbol
_atom_site_fract_x
_atom_site_fract_y
_atom_site_fract_z
Ho1 Ho 0.0304 0.1130 0.1090
Ho2 Ho 0.1691 0.2500 0.6411
Sn1 Sn 0.1826 0.7500 0.6327
Sn2 Sn 0.1913 0.0338 0.6107
Ir1 Ir 0.0866 0.6124 0.3686

=====

Entry 5:
# EuZnBi2 PBE-GGA relaxed
# final energy = -0.19129 Ha/atom
# formation enthalpy at 0 K = -1.51 eV/f.u.
data_EuZnBi2
_symmetry_space_group_name_H-M 'P 4/m m m'
_symmetry_Int_Tables_number 123
_symmetry_space_group_name_Hall '-P 4 2'
_cell_length_a 4.9198
_cell_length_b 4.9198
_cell_length_c 4.6253
_cell_angle_alpha 90.00
_cell_angle_beta 90.00
_cell_angle_gamma 90.00
loop_
_atom_site_label
_atom_site_type_symbol
_atom_site_fract_x
_atom_site_fract_y
_atom_site_fract_z
Eu1 Eu 0.0000 0.0000 0.0000
Zn1 Zn 0.5000 0.5000 0.0000
Bi1 Bi 0.0000 0.5000 0.5000

=====

Entry 6:
# TaTlFe PBE-GGA relaxed
# final energy = -0.26359 Ha/atom
# formation enthalpy at 0 K = 1.16 eV/f.u.
data_TaTlFe
_symmetry_space_group_name_H-M 'I 4 m m'
_symmetry_Int_Tables_number 107
_symmetry_space_group_name_Hall 'I 4 -2'
_cell_length_a 3.0283
_cell_length_b 3.0283
_cell_length_c 11.3993
_cell_angle_alpha 90.00
_cell_angle_beta 90.00
_cell_angle_gamma 90.00
loop_
_atom_site_label
_atom_site_type_symbol
_atom_site_fract_x
_atom_site_fract_y
_atom_site_fract_z
Ta1 Ta 0.0000 0.0000 0.0000
Tl1 Tl 0.0000 0.0000 0.7074
Fe1 Fe 0.0000 0.0000 0.3814

=====

Entry 7:
# Gd2ErGa PBE-GGA relaxed
# offset from the most stable computed form = 0.0005 eV/atom
# final energy = -0.33805 Ha/atom
# formation enthalpy at 0 K = -1.04 eV/f.u.
data_Gd2ErGa
_symmetry_space_group_name_H-M 'P 4/m m m'
_symmetry_Int_Tables_number 123
_symmetry_space_group_name_Hall '-P 4 2'
_cell_length_a 4.7105
_cell_length_b 4.7105
_cell_length_c 4.7750
_cell_angle_alpha 90.00
_cell_angle_beta 90.00
_cell_angle_gamma 90.00
loop_
_atom_site_label
_atom_site_type_symbol
_atom_site_fract_x
_atom_site_fract_y
_atom_site_fract_z
Gd1 Gd 0.0000 0.5000 0.0000
Er1 Er 0.0000 0.0000 0.5000
Ga1 Ga 0.5000 0.5000 0.5000

=====

Entry 8:
# ScCr2Rh2 PBE-GGA relaxed
# offset from the most stable computed form = 0.0693 eV/atom
# final energy = -0.29799 Ha/atom
# formation enthalpy at 0 K = -0.26 eV/f.u.
data_ScCr2Rh2
_symmetry_space_group_name_H-M 'P 4/m b m'
_symmetry_Int_Tables_number 127
_symmetry_space_group_name_Hall '-P 4 2ab'
_cell_length_a 7.3501
_cell_length_b 7.3501
_cell_length_c 2.8752
_cell_angle_alpha 90.00
_cell_angle_beta 90.00
_cell_angle_gamma 90.00
loop_
_atom_site_label
_atom_site_type_symbol
_atom_site_fract_x
_atom_site_fract_y
_atom_site_fract_z
Sc1 Sc 0.0000 0.0000 0.0000
Cr1 Cr 0.1587 0.3413 0.5000
Rh1 Rh 0.1380 0.6380 0.0000

=====

Entry 9:
# Tl3Cu2AgBr6 PBE-GGA relaxed
# raw formation energy = -0.50 eV per atom
# final energy = -0.10469 Ha/atom
data_Tl3Cu2AgBr6
_symmetry_space_group_name_H-M 'P -3 m 1'
_symmetry_Int_Tables_number 164
_symmetry_space_group_name_Hall '-P 3 2"'
_cell_length_a 7.9521
_cell_length_b 7.9521
_cell_length_c 8.5625
_cell_angle_alpha 90.00
_cell_angle_beta 90.00
_cell_angle_gamma 120.00
loop_
_atom_site_label
_atom_site_type_symbol
_atom_site_fract_x
_atom_site_fract_y
_atom_site_fract_z
Tl1 Tl 0.0000 0.0000 0.0000
Tl2 Tl 0.3333 0.6667 0.6253
Cu1 Cu 0.3333 0.6667 0.2927
Ag1 Ag 0.0000 0.0000 0.5000
Br1 Br 0.1625 0.3250 0.2893

=====

Entry 10:
# Tc2PtRhN PBE-GGA relaxed
# raw formation energy = 0.05 eV per atom
# final energy = -0.31027 Ha/atom
data_Tc2PtRhN
_symmetry_space_group_name_H-M 'P 4/m m m'
_symmetry_Int_Tables_number 123
_symmetry_space_group_name_Hall '-P 4 2'
_cell_length_a 4.0171
_cell_length_b 4.0171
_cell_length_c 4.1255
_cell_angle_alpha 90.00
_cell_angle_beta 90.00
_cell_angle_gamma 90.00
loop_
_atom_site_label
_atom_site_type_symbol
_atom_site_fract_x
_atom_site_fract_y
_atom_site_fract_z
Tc1 Tc 0.0000 0.5000 0.0000
Pt1 Pt 0.0000 0.0000 0.5000
Rh1 Rh 0.5000 0.5000 0.5000
N1 N 0.5000 0.5000 0.0000

=====

Entry 11:
# Ba2Os2O PBE-GGA relaxed
# offset from the most stable computed form = 0.0000 eV/atom
# raw formation energy = 0.37 eV per atom
# final energy = -0.21603 Ha/atom
data_Ba2Os2O
_symmetry_space_group_name_H-M 'I 4/m m m'
_symmetry_Int_Tables_number 139
_symmetry_space_group_name_Hall '-I 4 2'
_cell_length_a 6.2141
_cell_length_b 6.2141
_cell_length_c 6.6352
_cell_angle_alpha 90.00
_cell_angle_beta 90.00
_cell_angle_gamma 90.00
loop_
_atom_site_label
_atom_site_type_symbol
_atom_site_fract_x
_atom_site_fract_y
_atom_site_fract_z
Ba1 Ba 0.0000 0.5000 0.2500
Os1 Os 0.0000 0.0000 0.1787
O1 O 0.0000 0.0000 0.5000

=====

Entry 12:
# PrNi2GePt2 PBE-GGA relaxed
# final energy = -0.21085 Ha/atom
# formation enthalpy at 0 K = -1.38 eV/f.u.
data_PrNi2GePt2
_symmetry_space_group_name_H-M 'P 4/m m m'
_symmetry_Int_Tables_number 123
_symmetry_space_group_name_Hall '-P 4 2'
_cell_length_a 4.4009
_cell_length_b 4.4009
_cell_length_c 5.6628
_cell_angle_alpha 90.00
_cell_angle_beta 90.00
_cell_angle_gamma 90.00
loop_
_atom_site_label
_atom_site_type_symbol
_atom_site_fract_x
_atom_site_fract_y
_atom_site_fract_z
Pr1 Pr 0.0000 0.0000 0.0000
Ni1 Ni 0.0000 0.5000 0.5000
Ge1 Ge 0.0000 0.0000 0.5000
Pt1 Pt 0.5000 0.5000 0.2378

=====

For reference, M_tot by record: 4.45, 3.79, 6.43, 0.00, 6.88, 0.22, 15.37, 5.44, 0.00, 0.00, 0.00, 0.00 μB per formula unit.